(1)
Density functional theory data (PBE) for crystalline LaTb4Er4 at its relaxed geometry. Values from VASP.

```
&SYSTEM
  ibrav = 0, nat = 9, ntyp = 3
/
ATOMIC_SPECIES
La 138.91 La.upf
Tb 158.93 Tb.upf
Er 167.26 Er.upf
CELL_PARAMETERS angstrom
-5.346 5.346 2.510
5.346 -5.346 2.510
5.346 5.346 -2.510
ATOMIC_POSITIONS crystal
La 0.000 0.000 0.000
Tb 0.000 0.334 0.334
Tb 0.000 0.666 0.666
Tb 0.334 0.000 0.334
Tb 0.666 0.000 0.666
Er 0.332 0.332 0.663
Er 0.332 0.668 0.000
Er 0.668 0.332 0.000
Er 0.668 0.668 0.337
```

The value obtained for the energy above the most stable polymorph in this dataset is 0 meV/atom. Its formation energy is 0.23 eV per formula unit. Its space group is No. 139.

***

(2)
Density functional theory data (PBE) for crystalline La3Tb2Er7 at its relaxed geometry. Values from VASP.

```
&SYSTEM
  ibrav = 0, nat = 12, ntyp = 3
/
ATOMIC_SPECIES
La 138.91 La.upf
Tb 158.93 Tb.upf
Er 167.26 Er.upf
CELL_PARAMETERS angstrom
2.872 -19.110 0.000
2.872 19.110 0.000
0.000 0.000 3.597
ATOMIC_POSITIONS crystal
La 0.000 0.000 0.000
La 0.316 0.684 0.500
La 0.684 0.316 0.500
Tb 0.146 0.854 0.000
Tb 0.854 0.146 0.000
Er 0.072 0.928 0.500
Er 0.230 0.770 0.000
Er 0.412 0.588 0.000
Er 0.500 0.500 0.500
Er 0.588 0.412 0.000
Er 0.770 0.230 0.000
Er 0.928 0.072 0.500
```

Its formation energy is 1.47 eV per formula unit. Its space group is No. 65.

***

(3)
Density functional theory data (PBE) for crystalline La3Tb5Er3 at its relaxed geometry. Values from VASP.

```
&SYSTEM
  ibrav = 0, nat = 11, ntyp = 3
/
ATOMIC_SPECIES
La 138.91 La.upf
Tb 158.93 Tb.upf
Er 167.26 Er.upf
CELL_PARAMETERS angstrom
9.683 0.000 0.000
-4.842 8.386 0.000
0.000 0.000 5.300
ATOMIC_POSITIONS crystal
La 0.000 0.640 0.000
La 0.360 0.360 0.000
La 0.640 0.000 0.000
Tb 0.000 0.268 0.000
Tb 0.268 0.000 0.000
Tb 0.333 0.667 0.000
Tb 0.667 0.333 0.000
Tb 0.732 0.732 0.000
Er 0.000 0.475 0.500
Er 0.475 0.000 0.500
Er 0.525 0.525 0.500
```

Its formation energy is 8.56 eV per formula unit. Its space group is No. 189.

***

(4)
Density functional theory data (PBE) for crystalline LaTbEr2 at its relaxed geometry. Values from VASP.

```
&SYSTEM
  ibrav = 0, nat = 4, ntyp = 3
/
ATOMIC_SPECIES
La 138.91 La.upf
Tb 158.93 Tb.upf
Er 167.26 Er.upf
CELL_PARAMETERS angstrom
1.794 1.036 11.601
-1.794 1.036 11.601
0.000 -2.072 11.601
ATOMIC_POSITIONS crystal
La 0.000 0.000 0.000
Tb 0.500 0.500 0.500
Er 0.248 0.248 0.248
Er 0.752 0.752 0.752
```

The value obtained for the energy above the most stable polymorph in this dataset is 9 meV/atom. Its formation energy is 0.09 eV per formula unit. Its space group is No. 166.

***

(5)
Density functional theory data (PBE) for crystalline La5TbEr at its relaxed geometry. Values from VASP.

```
&SYSTEM
  ibrav = 0, nat = 14, ntyp = 3
/
ATOMIC_SPECIES
La 138.91 La.upf
Tb 158.93 Tb.upf
Er 167.26 Er.upf
CELL_PARAMETERS angstrom
3.133 -8.868 0.000
3.133 8.868 0.000
-1.818 0.000 9.028
ATOMIC_POSITIONS crystal
La 0.019 0.389 0.648
La 0.138 0.862 0.750
La 0.241 0.542 0.034
La 0.389 0.019 0.148
La 0.458 0.759 0.466
La 0.542 0.241 0.534
La 0.611 0.981 0.852
La 0.759 0.458 0.966
La 0.862 0.138 0.250
La 0.981 0.611 0.352
Tb 0.000 0.000 0.000
Tb 0.000 0.000 0.500
Er 0.490 0.510 0.750
Er 0.510 0.490 0.250
```

The value obtained for the energy above the most stable polymorph in this dataset is 38 meV/atom. Its formation energy is 1.16 eV per formula unit. Its space group is No. 15.

***

(6)
Density functional theory data (PBE) for crystalline LaTb3Er7 at its relaxed geometry. Values from VASP.

```
&SYSTEM
  ibrav = 0, nat = 11, ntyp = 3
/
ATOMIC_SPECIES
La 138.91 La.upf
Tb 158.93 Tb.upf
Er 167.26 Er.upf
CELL_PARAMETERS angstrom
6.920 0.000 0.000
0.000 5.521 0.000
-3.222 0.000 9.327
ATOMIC_POSITIONS crystal
La 0.000 0.000 0.000
Tb 0.277 0.500 0.495
Tb 0.500 0.000 0.000
Tb 0.723 0.500 0.505
Er 0.000 0.000 0.500
Er 0.148 0.500 0.789
Er 0.325 0.500 0.142
Er 0.429 0.000 0.332
Er 0.571 0.000 0.668
Er 0.675 0.500 0.858
Er 0.852 0.500 0.211
```

The value obtained for the energy above the most stable polymorph in this dataset is 0 meV/atom. Its formation energy is 1.66 eV per formula unit. Its space group is No. 10.

***

(7)
Density functional theory data (PBE) for crystalline LaTb8Er4 at its relaxed geometry. Values from VASP.

```
&SYSTEM
  ibrav = 0, nat = 13, ntyp = 3
/
ATOMIC_SPECIES
La 138.91 La.upf
Tb 158.93 Tb.upf
Er 167.26 Er.upf
CELL_PARAMETERS angstrom
3.647 2.106 9.058
-3.647 2.106 9.058
0.000 -4.211 9.058
ATOMIC_POSITIONS crystal
La 0.000 0.000 0.000
Tb 0.250 0.250 0.698
Tb 0.250 0.698 0.250
Tb 0.281 0.281 0.281
Tb 0.302 0.750 0.750
Tb 0.698 0.250 0.250
Tb 0.719 0.719 0.719
Tb 0.750 0.302 0.750
Tb 0.750 0.750 0.302
Er 0.000 0.000 0.500
Er 0.000 0.500 0.000
Er 0.500 0.000 0.000
Er 0.500 0.500 0.500
```

Its formation energy is 2.35 eV per formula unit. Its space group is No. 166.

***

(8)
Density functional theory data (PBE) for crystalline La2Tb6Er at its relaxed geometry. Values from VASP.

```
&SYSTEM
  ibrav = 0, nat = 9, ntyp = 3
/
ATOMIC_SPECIES
La 138.91 La.upf
Tb 158.93 Tb.upf
Er 167.26 Er.upf
CELL_PARAMETERS angstrom
-1.712 5.120 8.657
1.712 -5.120 8.657
1.712 5.120 -8.657
ATOMIC_POSITIONS crystal
La 0.168 0.168 0.000
La 0.832 0.832 0.000
Tb 0.147 0.334 0.813
Tb 0.196 0.000 0.196
Tb 0.479 0.666 0.813
Tb 0.521 0.334 0.187
Tb 0.804 0.000 0.804
Tb 0.853 0.666 0.187
Er 0.500 0.500 0.000
```

Its formation energy is 1.74 eV per formula unit. Its space group is No. 71.

***

(9)
Density functional theory data (PBE) for crystalline La3Tb5Er at its relaxed geometry. Values from VASP.

```
&SYSTEM
  ibrav = 0, nat = 18, ntyp = 3
/
ATOMIC_SPECIES
La 138.91 La.upf
Tb 158.93 Tb.upf
Er 167.26 Er.upf
CELL_PARAMETERS angstrom
6.210 -4.127 0.000
6.210 4.127 0.000
-2.221 0.000 12.577
ATOMIC_POSITIONS crystal
La 0.000 0.000 0.000
La 0.000 0.000 0.500
La 0.267 0.267 0.533
La 0.380 0.380 0.784
La 0.620 0.620 0.216
La 0.733 0.733 0.467
Tb 0.066 0.671 0.220
Tb 0.259 0.259 0.024
Tb 0.320 0.680 0.000
Tb 0.329 0.934 0.780
Tb 0.444 0.444 0.376
Tb 0.556 0.556 0.624
Tb 0.671 0.066 0.220
Tb 0.680 0.320 0.000
Tb 0.741 0.741 0.976
Tb 0.934 0.329 0.780
Er 0.142 0.142 0.261
Er 0.858 0.858 0.739
```

Its formation energy is 3.83 eV per formula unit. Its space group is No. 12.

***

(10)
Density functional theory data (PBE) for crystalline La4TbEr3Te8 at its relaxed geometry. Values from VASP.

```
&SYSTEM
  ibrav = 0, nat = 16, ntyp = 4
/
ATOMIC_SPECIES
La 138.91 La.upf
Tb 158.93 Tb.upf
Er 167.26 Er.upf
Te 127.60 Te.upf
CELL_PARAMETERS angstrom
4.410 2.546 7.433
-4.410 2.546 7.433
0.000 -5.092 7.433
ATOMIC_POSITIONS crystal
La 0.000 0.000 0.000
La 0.000 0.500 0.500
La 0.500 0.000 0.500
La 0.500 0.500 0.000
Tb 0.500 0.500 0.500
Er 0.000 0.000 0.500
Er 0.000 0.500 0.000
Er 0.500 0.000 0.000
Te 0.241 0.745 0.745
Te 0.243 0.243 0.243
Te 0.255 0.255 0.759
Te 0.255 0.759 0.255
Te 0.745 0.241 0.745
Te 0.745 0.745 0.241
Te 0.757 0.757 0.757
Te 0.759 0.255 0.255
```

Its total energy is -5.369 eV/atom. Its space group is No. 166.

***

(11)
Density functional theory data (PBE) for crystalline La3TbEr2Te6 at its relaxed geometry. Values from VASP.

```
&SYSTEM
  ibrav = 0, nat = 12, ntyp = 4
/
ATOMIC_SPECIES
La 138.91 La.upf
Tb 158.93 Tb.upf
Er 167.26 Er.upf
Te 127.60 Te.upf
CELL_PARAMETERS angstrom
3.813 -6.639 0.000
3.813 6.639 0.000
-2.560 0.000 7.421
ATOMIC_POSITIONS crystal
La 0.000 0.000 0.000
La 0.335 0.665 0.000
La 0.665 0.335 0.000
Tb 0.500 0.500 0.500
Er 0.167 0.833 0.500
Er 0.833 0.167 0.500
Te 0.086 0.423 0.268
Te 0.240 0.240 0.730
Te 0.423 0.086 0.268
Te 0.577 0.914 0.732
Te 0.760 0.760 0.270
Te 0.914 0.577 0.732
```

Its total energy is -5.378 eV/atom. Its space group is No. 12.

***

(12)
Density functional theory data (PBE) for crystalline LaTb3Er2Te6 at its relaxed geometry. Values from VASP.

```
&SYSTEM
  ibrav = 0, nat = 12, ntyp = 4
/
ATOMIC_SPECIES
La 138.91 La.upf
Tb 158.93 Tb.upf
Er 167.26 Er.upf
Te 127.60 Te.upf
CELL_PARAMETERS angstrom
9.559 -2.183 0.000
9.559 2.183 0.000
-1.979 0.000 8.611
ATOMIC_POSITIONS crystal
La 0.000 0.000 0.000
Tb 0.000 0.000 0.500
Tb 0.340 0.340 0.168
Tb 0.660 0.660 0.832
Er 0.335 0.335 0.670
Er 0.665 0.665 0.330
Te 0.169 0.169 0.581
Te 0.173 0.173 0.090
Te 0.496 0.496 0.738
Te 0.504 0.504 0.262
Te 0.827 0.827 0.910
Te 0.831 0.831 0.419
```

Its total energy is -5.221 eV/atom. Its space group is No. 12.

***

(13)
Density functional theory data (PBE) for crystalline LaTbErTe3 at its relaxed geometry. Values from VASP.

```
&SYSTEM
  ibrav = 0, nat = 12, ntyp = 4
/
ATOMIC_SPECIES
La 138.91 La.upf
Tb 158.93 Tb.upf
Er 167.26 Er.upf
Te 127.60 Te.upf
CELL_PARAMETERS angstrom
8.615 0.000 0.000
0.000 4.348 0.000
-2.969 0.000 10.387
ATOMIC_POSITIONS crystal
La 0.189 0.250 0.218
La 0.811 0.750 0.782
Tb 0.337 0.750 0.908
Tb 0.663 0.250 0.092
Er 0.154 0.250 0.623
Er 0.846 0.750 0.377
Te 0.089 0.250 0.892
Te 0.222 0.750 0.454
Te 0.485 0.750 0.206
Te 0.515 0.250 0.794
Te 0.778 0.250 0.546
Te 0.911 0.750 0.108
```

Its total energy is -5.205 eV/atom. Its space group is No. 11.

***

(14)
Density functional theory data (PBE) for crystalline La2TbErTe6 at its relaxed geometry. Values from VASP.

```
&SYSTEM
  ibrav = 0, nat = 10, ntyp = 4
/
ATOMIC_SPECIES
La 138.91 La.upf
Tb 158.93 Tb.upf
Er 167.26 Er.upf
Te 127.60 Te.upf
CELL_PARAMETERS angstrom
3.972 2.293 7.033
-3.972 2.293 7.033
0.000 -4.586 7.033
ATOMIC_POSITIONS crystal
La 0.000 0.000 0.000
La 0.500 0.500 0.500
Tb 0.195 0.195 0.195
Er 0.695 0.695 0.695
Te 0.075 0.423 0.812
Te 0.315 0.920 0.577
Te 0.423 0.812 0.075
Te 0.577 0.315 0.920
Te 0.812 0.075 0.423
Te 0.920 0.577 0.315
```

Its total energy is -5.226 eV/atom. Its space group is No. 146.

***

(15)
Density functional theory data (PBE) for crystalline La2TbEr3Te6 at its relaxed geometry. Values from VASP.

```
&SYSTEM
  ibrav = 0, nat = 12, ntyp = 4
/
ATOMIC_SPECIES
La 138.91 La.upf
Tb 158.93 Tb.upf
Er 167.26 Er.upf
Te 127.60 Te.upf
CELL_PARAMETERS angstrom
9.674 -2.187 0.000
9.674 2.187 0.000
-2.256 0.000 8.635
ATOMIC_POSITIONS crystal
La 0.167 0.167 0.333
La 0.833 0.833 0.667
Tb 0.500 0.500 0.000
Er 0.171 0.171 0.834
Er 0.500 0.500 0.500
Er 0.829 0.829 0.166
Te 0.006 0.006 0.750
Te 0.334 0.334 0.931
Te 0.338 0.338 0.406
Te 0.662 0.662 0.594
Te 0.666 0.666 0.069
Te 0.994 0.994 0.250
```

Its total energy is -5.277 eV/atom. Its space group is No. 12.

***

(16)
Density functional theory data (PBE) for crystalline La4Tb3ErTe8 at its relaxed geometry. Values from VASP.

```
&SYSTEM
  ibrav = 0, nat = 16, ntyp = 4
/
ATOMIC_SPECIES
La 138.91 La.upf
Tb 158.93 Tb.upf
Er 167.26 Er.upf
Te 127.60 Te.upf
CELL_PARAMETERS angstrom
4.445 2.566 7.384
-4.445 2.566 7.384
0.000 -5.133 7.384
ATOMIC_POSITIONS crystal
La 0.000 0.000 0.000
La 0.000 0.500 0.500
La 0.500 0.000 0.500
La 0.500 0.500 0.000
Tb 0.000 0.000 0.500
Tb 0.000 0.500 0.000
Tb 0.500 0.000 0.000
Er 0.500 0.500 0.500
Te 0.245 0.245 0.245
Te 0.247 0.743 0.743
Te 0.257 0.257 0.753
Te 0.257 0.753 0.257
Te 0.743 0.247 0.743
Te 0.743 0.743 0.247
Te 0.753 0.257 0.257
Te 0.755 0.755 0.755
```

Its total energy is -5.400 eV/atom. Its space group is No. 166.

***

(17)
Density functional theory data (PBE) for crystalline LaTbEr2Te6 at its relaxed geometry. Values from VASP.

```
&SYSTEM
  ibrav = 0, nat = 10, ntyp = 4
/
ATOMIC_SPECIES
La 138.91 La.upf
Tb 158.93 Tb.upf
Er 167.26 Er.upf
Te 127.60 Te.upf
CELL_PARAMETERS angstrom
3.901 2.252 7.017
-3.901 2.252 7.017
0.000 -4.505 7.017
ATOMIC_POSITIONS crystal
La 0.000 0.000 0.000
Tb 0.495 0.495 0.495
Er 0.306 0.306 0.306
Er 0.809 0.809 0.809
Te 0.081 0.688 0.427
Te 0.208 0.579 0.907
Te 0.427 0.081 0.688
Te 0.579 0.907 0.208
Te 0.688 0.427 0.081
Te 0.907 0.208 0.579
```

Its total energy is -5.142 eV/atom. Its space group is No. 146.

***

(18)
Density functional theory data (PBE) for crystalline LaTb6Er2Th at its relaxed geometry. Values from VASP.

```
&SYSTEM
  ibrav = 0, nat = 20, ntyp = 4
/
ATOMIC_SPECIES
La 138.91 La.upf
Tb 158.93 Tb.upf
Er 167.26 Er.upf
Th 232.04 Th.upf
CELL_PARAMETERS angstrom
4.684 -7.492 0.000
4.684 7.492 0.000
-0.777 0.000 9.363
ATOMIC_POSITIONS crystal
La 0.038 0.962 0.750
La 0.962 0.038 0.250
Tb 0.010 0.557 0.682
Tb 0.117 0.758 0.061
Tb 0.242 0.883 0.439
Tb 0.294 0.519 0.887
Tb 0.443 0.990 0.818
Tb 0.481 0.706 0.613
Tb 0.519 0.294 0.387
Tb 0.557 0.010 0.182
Tb 0.706 0.481 0.113
Tb 0.758 0.117 0.561
Tb 0.883 0.242 0.939
Tb 0.990 0.443 0.318
Er 0.199 0.304 0.554
Er 0.304 0.199 0.054
Er 0.696 0.801 0.946
Er 0.801 0.696 0.446
Th 0.411 0.589 0.250
Th 0.589 0.411 0.750
```

Its formation energy is 1.43 eV per formula unit. Its space group is No. 15.

***

(19)
Density functional theory data (PBE) for crystalline LaTbErTh2 at its relaxed geometry. Values from VASP.

```
&SYSTEM
  ibrav = 0, nat = 10, ntyp = 4
/
ATOMIC_SPECIES
La 138.91 La.upf
Tb 158.93 Tb.upf
Er 167.26 Er.upf
Th 232.04 Th.upf
CELL_PARAMETERS angstrom
4.282 -5.949 0.000
4.282 5.949 0.000
0.000 0.000 7.091
ATOMIC_POSITIONS crystal
La 0.244 0.756 0.750
La 0.756 0.244 0.250
Tb 0.289 0.711 0.250
Tb 0.711 0.289 0.750
Er 0.024 0.976 0.250
Er 0.976 0.024 0.750
Th 0.313 0.313 0.000
Th 0.313 0.313 0.500
Th 0.687 0.687 0.000
Th 0.687 0.687 0.500
```

Its formation energy is 2.23 eV per formula unit. Its space group is No. 63.

***

(20)
Density functional theory data (PBE) for crystalline La2TbErTh at its relaxed geometry. Values from VASP.

```
&SYSTEM
  ibrav = 0, nat = 10, ntyp = 4
/
ATOMIC_SPECIES
La 138.91 La.upf
Tb 158.93 Tb.upf
Er 167.26 Er.upf
Th 232.04 Th.upf
CELL_PARAMETERS angstrom
9.175 0.000 0.000
0.000 6.344 0.000
-2.182 0.000 6.137
ATOMIC_POSITIONS crystal
La 0.184 0.193 0.341
La 0.184 0.807 0.841
La 0.816 0.193 0.159
La 0.816 0.807 0.659
Tb 0.000 0.334 0.750
Tb 0.000 0.666 0.250
Er 0.500 0.003 0.750
Er 0.500 0.997 0.250
Th 0.500 0.500 0.000
Th 0.500 0.500 0.500
```

Its formation energy is 1.60 eV per formula unit. Its space group is No. 13.